Record 1
Density functional theory data (GGA-PBE) for crystalline Ag2HgRh at its relaxed geometry.

Geometry as POSCAR:
```
Ag2HgRh
1.0
2.892 0.000 0.000
0.000 2.892 0.000
0.000 0.000 8.550
Ag Hg Rh
2 1 1
Direct
0.000 0.000 0.232 Ag
0.000 0.000 0.768 Ag
0.500 0.500 0.500 Hg
0.500 0.500 0.000 Rh
```

Computed properties:
calculated density = 12.1 g cm⁻³
calculated volume = 71.5 Å³ per cell
E_form = 241 meV/atom
magnetic moment = 0.45 μB/cell
crystal system = tetragonal

Record 2
Density functional theory data (GGA-PBE) for crystalline Ag2HgRh2 at its relaxed geometry.

Geometry as POSCAR:
```
Ag2HgRh2
1.0
6.922 0.000 0.000
0.000 6.922 0.000
0.000 0.000 3.855
Ag Hg Rh
4 2 4
Direct
0.170 0.330 0.000 Ag
0.330 0.830 0.000 Ag
0.670 0.170 0.000 Ag
0.830 0.670 0.000 Ag
0.000 0.000 0.500 Hg
0.500 0.500 0.500 Hg
0.127 0.627 0.500 Rh
0.373 0.127 0.500 Rh
0.627 0.873 0.500 Rh
0.873 0.373 0.500 Rh
```

Computed properties:
calculated density = 11.2 g cm⁻³
energy above the lowest structure with this stoichiometry = 0 meV per atom
calculated volume = 184.7 Å³ per cell
E_form = 376 meV/atom
magnetic moment = 3.61 μB/cell
crystal system = tetragonal